Record 1
## CaTb3Te4 (GGA-PBE)

Data for a relaxed structure of CaTb3Te4.

Computed properties:
- Space group: Cmmm, No. 65
- Total energy: -4.942 eV/atom

a = 4.372 Å, b = 7.630 Å, c = 7.630 Å
α = 109.08°, β = 90.00°, γ = 90.00°
Fractional positions:
Te  0.000  0.251  0.251
Te  0.500  0.750  0.250
Tb  0.000  0.000  0.500
Tb  0.500  0.500  0.500
Ca  0.500  0.000  0.000
Tb  0.000  0.500  0.000
Te  0.500  0.250  0.750
Te  0.000  0.749  0.749

Record 2
## NiSbTe2Ir (GGA-PBE)

Data for a relaxed structure of NiSbTe2Ir.

Computed properties:
- Energy above the most stable polymorph in this dataset: 0.0 kJ/mol of atoms
- Space group: P4/mmm, No. 123
- Total energy: -4.408 eV/atom

a = 5.243 Å, b = 5.243 Å, c = 4.626 Å
α = 90.00°, β = 90.00°, γ = 90.00°
Fractional positions:
Ni  0.000  0.000  0.500
Sb  0.500  0.500  0.500
Te  0.000  0.500  0.000
Ir  0.000  0.000  0.000
Te  0.500  0.000  0.000

Record 3
## BeVS2 (GGA-PBE)

Data for a relaxed structure of BeVS2.

Computed properties:
- Space group: R-3m, No. 166
- Total energy: -5.719 eV/atom

a = 7.147 Å, b = 7.147 Å, c = 7.147 Å
α = 26.10°, β = 26.10°, γ = 26.10°
Fractional positions:
S  0.095  0.095  0.095
Be  0.000  0.000  0.000
V  0.500  0.500  0.500
S  0.905  0.905  0.905

Question: What is the total energy in the second record?
Answer: -4.408 eV/atom